1.
An optimized crystal structure of BaFe2Ag, computed with PBE.

Lattice parameters (Å, degrees): 3.5558 3.5558 7.0859 90.00 90.00 90.00
With the nearest neighbours (Å) after each atom.
Space group P4/mmm (No. 123)
Unique sites:
Ba: 0.0000 0.0000 0.0000  8 Fe 3.50, 2 Ag 3.54, 4 Ba 3.56
Fe: 0.5000 0.5000 0.3435  1 Fe 2.22
Ag: 0.0000 0.0000 0.5000  8 Fe 2.75

The total moment is 5.8 μB/cell. The value obtained for the theoretical density is 6615 kg/m3. The raw total energy comes out at -4.76 eV/atom. The formation energy is 0.664 eV/atom.

=====

2.
An optimized crystal structure of BaFe2Ag, computed with PBE.

Lattice parameters (Å, degrees): 3.2310 5.3237 9.9986 90.00 90.00 90.00
With the nearest neighbours (Å) after each atom.
Space group Imm2 (No. 44)
Unique sites:
Ba: 0.0000 0.0000 0.0000  8 Fe 3.14-3.36, 2 Ba 3.23, 4 Ag 3.34-3.39
Fe: 0.0000 0.0000 0.4634  2 Fe 2.33
Fe: 0.0000 0.5000 0.7951  2 Fe 2.33
Ag: 0.0000 0.5000 0.2021  2 Fe 2.88

The total moment is 10.3 μB/cell. The value obtained for the theoretical density is 6892 kg/m3. The raw total energy comes out at -4.77 eV/atom. The formation energy is 0.650 eV/atom.

=====

3.
An optimized crystal structure of BaFe3Ag, computed with PBE.

Lattice parameters (Å, degrees): 4.9041 4.9041 4.9041 90.00 90.00 90.00
With the nearest neighbours (Å) after each atom.
Space group Pm-3m (No. 221)
Unique sites:
Ba: 0.0000 0.0000 0.0000  6 Fe 2.45
Fe: 0.0000 0.0000 0.5000  2 Ba 2.45
Ag: 0.5000 0.5000 0.5000  12 Fe 3.47

The total moment is 7.2 μB/cell. The offset from the most stable computed form is 1173 meV per atom. The value obtained for the theoretical density is 5811 kg/m3. The raw total energy comes out at -3.75 eV/atom. The formation energy is 2.279 eV/atom.